[1]
Below is an optimized crystal structure of BiPd3Pt, with properties calculated at the PBE level.

## Properties
M_tot	0.0	μB/f.u.
E above lowest polymorph	126	meV/atom
final energy	-5.073	eV per atom
formation energy from the elements	0.027	eV/atom
space group	No. 63

The structure in POSCAR format:
```
BiPd3Pt
1.0
2.6334 -7.2000 0.0000
2.6334 7.2000 0.0000
0.0000 0.0000 5.0032
Bi Pd Pt
2 6 2
direct
0.1840 0.8160 0.7500 Bi
0.8160 0.1840 0.2500 Bi
0.0000 0.0000 0.0000 Pd
0.0000 0.0000 0.5000 Pd
0.1137 0.3985 0.7500 Pd
0.3985 0.1137 0.2500 Pd
0.6015 0.8863 0.7500 Pd
0.8863 0.6015 0.2500 Pd
0.4580 0.5420 0.2500 Pt
0.5420 0.4580 0.7500 Pt
```


[2]
Below is an optimized crystal structure of Bi6Pd5Pt, with properties calculated at the PBE level.

## Properties
M_tot	0.0	μB/f.u.
final energy	-4.761	eV per atom
formation energy from the elements	-0.153	eV/atom
space group	No. 12

The structure in POSCAR format:
```
Bi6Pd5Pt
1.0
3.3692 -5.4620 0.0000
3.3692 5.4620 0.0000
-1.9114 0.0000 7.4813
Bi Pd Pt
6 5 1
direct
0.0548 0.4002 0.7230 Bi
0.2071 0.2071 0.1973 Bi
0.4002 0.0548 0.7230 Bi
0.5998 0.9452 0.2770 Bi
0.7929 0.7929 0.8027 Bi
0.9452 0.5998 0.2770 Bi
0.0000 0.0000 0.5000 Pd
0.2126 0.7874 0.0000 Pd
0.3729 0.6271 0.5000 Pd
0.6271 0.3729 0.5000 Pd
0.7874 0.2126 0.0000 Pd
0.5000 0.5000 0.0000 Pt
```


[3]
Below is an optimized crystal structure of BiPd3Pt, with properties calculated at the PBE level.

## Properties
M_tot	0.0	μB/f.u.
E above lowest polymorph	1177	meV/atom
final energy	-4.022	eV per atom
formation energy from the elements	1.078	eV/atom
space group	No. 221

The structure in POSCAR format:
```
BiPd3Pt
1.0
4.9727 0.0000 0.0000
0.0000 4.9727 0.0000
0.0000 0.0000 4.9727
Bi Pd Pt
1 3 1
direct
0.0000 0.0000 0.0000 Bi
0.0000 0.0000 0.5000 Pd
0.0000 0.5000 0.0000 Pd
0.5000 0.0000 0.0000 Pd
0.5000 0.5000 0.5000 Pt
```


[4]
Below is an optimized crystal structure of BiPd5Pt6, with properties calculated at the PBE level.

## Properties
M_tot	0.0	μB/f.u.
final energy	-5.561	eV per atom
formation energy from the elements	-0.053	eV/atom
space group	No. 12

The structure in POSCAR format:
```
BiPd5Pt6
1.0
4.5624 -5.8882 0.0000
4.5624 5.8882 0.0000
-1.7815 0.0000 3.6291
Bi Pd Pt
1 5 6
direct
0.0000 0.0000 0.0000 Bi
0.1650 0.8350 0.5000 Pd
0.3309 0.6691 0.0000 Pd
0.5000 0.5000 0.5000 Pd
0.6691 0.3309 0.0000 Pd
0.8350 0.1650 0.5000 Pd
0.0863 0.4252 0.2558 Pt
0.2651 0.2651 0.7651 Pt
0.4252 0.0863 0.2558 Pt
0.5748 0.9137 0.7442 Pt
0.7349 0.7349 0.2349 Pt
0.9137 0.5748 0.7442 Pt
```